Here is a geometry-optimized ScVN2O structure from the Alexandria database. Energies are from GGA+U.

Computed properties:
N(E_F) = 0.22 states/eV per atom
total DFT energy (no corrections) = -39.70 eV/f.u.
crystal system = tetragonal

a b c (Å): 3.8135 3.8135 3.7022
angles (deg): 90.00 90.00 90.00
Last column: nearest neighbours and their distance in Å.
Space group P4/mmm (No. 123)
One atom of each set of equivalent atoms:
Sc: 0.0000 0.0000 0.0000 x1  8 N 2.66, 4 O 2.70
V: 0.5000 0.5000 0.5000 x1  2 O 1.85, 4 N 1.91
N: 0.0000 0.5000 0.5000 x2  2 V 1.91
O: 0.5000 0.5000 0.0000 x1  2 V 1.85